Entry A
Here is a geometry-optimized Tb8Sm2Sc structure from Alexandria via LeMat-Bulk. Energies are from GGA-PBE.

Summary:
Mass density, g/cm3: 7.7
M_tot, μB/f.u.: 0.0

Unit cell a=18.0761 b=5.0136 c=7.9384 alpha=90.00 beta=105.33 gamma=90.00
Last column: nearest neighbours and their distance in Å.
Space group C2/m (No. 12)
Asymmetric unit:
Tb 0.0444 0.0000 0.2299  9 Tb 3.49-3.59, 2 Sc 3.53, 1 Sm 3.55
Tb 0.0894 0.5000 0.9489  1 Sc 3.50, 8 Tb 3.51-3.59, 3 Sm 3.56-3.57
Tb 0.1340 0.0000 0.6769  7 Tb 3.49-3.60, 2 Sc 3.51, 3 Sm 3.59
Tb 0.1802 0.5000 0.4092  1 Sc 3.52, 8 Tb 3.53-3.60, 3 Sm 3.55-3.56
Sm 0.2261 0.0000 0.1362  10 Tb 3.55-3.59, 2 Sm 3.56
Sc 0.0000 0.5000 0.5000  12 Tb 3.50-3.53

Entry B
Here is a geometry-optimized Tb8Sm2Sc structure from Alexandria via LeMat-Bulk. Energies are from GGA-PBE.

Summary:
Mass density, g/cm3: 7.6
M_tot, μB/f.u.: 0.0

Unit cell a=16.4375 b=6.6442 c=6.6443 alpha=90.00 beta=101.82 gamma=90.00
Last column: nearest neighbours and their distance in Å.
Space group C2/m (No. 12)
Asymmetric unit:
Tb 0.0827 0.2404 0.3906  1 Sc 3.18, 6 Tb 3.19-3.54, 1 Sm 3.41
Tb 0.0920 0.0000 0.9131  6 Tb 3.36-3.58, 1 Sm 3.70, 2 Sc 3.74
Tb 0.2446 0.5000 0.3195  5 Tb 3.29-3.48, 4 Sm 3.36-3.64
Sm 0.1892 0.5000 0.8041  7 Tb 3.36-3.70, 1 Sc 3.61
Sc 0.0000 0.5000 0.0000  4 Tb 3.18

The structure with the most favorable energy is entry A; the runner-up is 0.141 eV/atom above it.

Entry A
Here is a geometry-optimized TbSm5Sc2 structure from Alexandria via LeMat-Bulk. Energies are from GGA-PBE.

Summary:
Mass density, g/cm3: 6.7
M_tot, μB/f.u.: 0.0

Unit cell a=7.0456 b=14.0925 c=4.9865 alpha=90.00 beta=90.00 gamma=90.00
Last column: nearest neighbours and their distance in Å.
Space group Pbam (No. 55)
Asymmetric unit:
Tb 0.0000 0.0000 0.0000  8 Sm 3.51-3.52, 4 Sc 3.52
Sm 0.0000 0.5000 0.0000  4 Sc 3.52, 2 Tb 3.52, 6 Sm 3.53
Sm 0.0014 0.2494 0.0000  1 Tb 3.51, 4 Sc 3.52-3.54, 7 Sm 3.52-3.53
Sm 0.2484 0.8757 0.5000  4 Sc 3.51-3.54, 2 Tb 3.51, 6 Sm 3.52-3.53
Sc 0.2494 0.6245 0.5000  10 Sm 3.51-3.54, 2 Tb 3.52

Entry B
Here is a geometry-optimized TbSm5Sc2 structure from Alexandria via LeMat-Bulk. Energies are from GGA-PBE.

Summary:
Mass density, g/cm3: 6.6
M_tot, μB/f.u.: 0.2

Unit cell a=9.0240 b=9.0240 c=12.3746 alpha=90.00 beta=90.00 gamma=90.00
Last column: nearest neighbours and their distance in Å.
Space group I4/mcm (No. 140)
Asymmetric unit:
Tb 0.0000 0.0000 0.2500  2 Sm 3.09
Sm 0.0000 0.0000 0.0000  2 Tb 3.09, 4 Sc 3.44
Sm 0.1485 0.3515 0.1590  3 Sc 3.25-3.33, 3 Sm 3.43-3.50, 2 Tb 3.62
Sc 0.1486 0.3514 0.5000  8 Sm 3.25-3.44

The structure with the most favorable energy is entry A; the runner-up is 0.095 eV/atom above it.

Entry A
Here is a geometry-optimized Tb3SmSc structure from Alexandria via LeMat-Bulk. Energies are from GGA-PBE.

Summary:
Mass density, g/cm3: 7.2
M_tot, μB/f.u.: 0.0

Unit cell a=19.6782 b=9.7283 c=6.5237 alpha=90.00 beta=93.85 gamma=90.00
Last column: nearest neighbours and their distance in Å.
Space group C2/c (No. 15)
Asymmetric unit:
Tb 0.0760 0.0564 0.3981  2 Sc 3.22-3.42, 6 Tb 3.36-3.59, 2 Sm 3.41-3.46
Tb 0.1489 0.3972 0.5908  3 Sc 3.29-3.52, 3 Tb 3.47-3.67, 2 Sm 3.47-3.56
Tb 0.1639 0.2476 0.0790  3 Sc 3.28-3.37, 5 Tb 3.36-3.61
Sm 0.0000 0.2524 0.7500  8 Tb 3.41-3.75, 3 Sm 3.42-3.55
Sm 0.0000 0.3956 0.2500  3 Sm 3.42-3.55, 8 Tb 3.56-3.77
Sc 0.2169 0.0658 0.6796  8 Tb 3.22-3.52, 2 Sc 3.50

Entry B
Here is a geometry-optimized Tb3SmSc structure from Alexandria via LeMat-Bulk. Energies are from GGA-PBE.

Summary:
Mass density, g/cm3: 7.3
M_tot, μB/f.u.: 0.0

Unit cell a=17.9658 b=4.9394 c=7.0488 alpha=90.00 beta=101.28 gamma=90.00
Last column: nearest neighbours and their distance in Å.
Space group C2/m (No. 12)
Asymmetric unit:
Tb 0.0006 0.0000 0.2559  7 Tb 3.44-3.60, 4 Sc 3.46-3.47, 1 Sm 3.48
Tb 0.0997 0.5000 0.0516  3 Sm 3.50-3.58, 2 Sc 3.51-3.54, 7 Tb 3.51-3.54
Tb 0.1990 0.0000 0.3534  4 Sm 3.47-3.58, 5 Tb 3.50-3.51, 3 Sc 3.51-3.59
Sm 0.1972 0.0000 0.8453  8 Tb 3.47-3.58, 2 Sc 3.50, 2 Sm 3.58
Sc 0.0975 0.5000 0.5478  1 Sc 3.43, 9 Tb 3.46-3.59, 2 Sm 3.50

The structure with the most favorable energy is entry B; the runner-up is 0.043 eV/atom above it.